LiZnCdRh | PBE | relaxed

CIF file:
```
data_LiZnCdRh
_chemical_formula_sum 'Li1 Zn1 Cd1 Rh1'
_cell_length_a 3.141
_cell_length_b 3.141
_cell_length_c 6.324
_cell_angle_alpha 90.00
_cell_angle_beta 90.00
_cell_angle_gamma 90.00
_space_group_name_H-M_alt 'P 4 m m'
_space_group_IT_number 99
loop_
_space_group_symop_operation_xyz
'x,y,z'
'-y,x,z'
'-x,-y,z'
'y,-x,z'
'-x,y,z'
'y,x,z'
'x,-y,z'
'-y,-x,z'
loop_
_atom_site_label
_atom_site_fract_x
_atom_site_fract_y
_atom_site_fract_z
Li1 0.000 0.000 0.000
Zn1 0.500 0.500 0.236
Cd1 0.500 0.500 0.725
Rh1 0.000 0.000 0.445
```

Calculated values
- Final energy: -3.145 eV per atom
- Energy of formation: -281 meV/atom